VASP calculation (PBE) on Ac14DyIn after structural relaxation.

a b c (Å): 7.8072 7.8072 11.1244
angles (deg): 90.00 90.00 89.99
Closest atoms and distances in Å follow each position.
Sites, in units of the cell vectors:
Ac (0.1237, 0.3738, 0.7584)  1 In 3.84, 10 Ac 3.85-4.00, 1 Dy 3.86
Ac (0.3747, 0.1248, 0.0000)  8 Ac 3.85, 2 In 3.90-3.91, 2 Dy 3.90-3.91
Ac (0.6264, 0.3736, 0.2414)  1 In 3.84, 10 Ac 3.85-4.00, 1 Dy 3.86
Ac (0.1237, 0.3738, 0.2416)  1 In 3.84, 10 Ac 3.85-4.00, 1 Dy 3.86
Ac (0.6262, 0.8763, 0.2416)  1 In 3.84, 10 Ac 3.85-4.00, 1 Dy 3.86
Ac (0.1237, 0.8763, 0.7583)  1 In 3.84, 10 Ac 3.85-3.99, 1 Dy 3.86
Ac (0.6262, 0.8763, 0.7584)  1 In 3.84, 10 Ac 3.85-4.00, 1 Dy 3.86
Ac (0.3751, 0.1252, 0.5000)  12 Ac 3.90-3.99
Ac (0.3750, 0.6250, 0.5000)  12 Ac 3.90-4.00
Ac (0.8750, 0.1250, 0.5000)  12 Ac 3.90-3.98
Ac (0.8752, 0.6253, 0.0000)  8 Ac 3.85, 2 In 3.90-3.91, 2 Dy 3.90-3.91
Ac (0.1237, 0.8763, 0.2417)  1 In 3.84, 10 Ac 3.85-3.99, 1 Dy 3.86
Ac (0.8748, 0.6249, 0.5000)  12 Ac 3.90-3.99
Ac (0.6264, 0.3736, 0.7586)  1 In 3.84, 10 Ac 3.85-4.00, 1 Dy 3.86
In (0.8751, 0.1249, 0.0000)  12 Ac 3.84-3.91
Dy (0.3750, 0.6250, 0.0000)  12 Ac 3.86-3.91

Properties
**Raw total energy**: -4.0753 eV/atom
**Volume**: 678 Å³/f.u.

***

VASP calculation (PBE) on LiAlRu2 after structural relaxation.

a b c (Å): 4.8858 4.8858 4.4677
angles (deg): 64.20 64.20 34.89
Closest atoms and distances in Å follow each position.
Sites, in units of the cell vectors:
Ru (0.4974, 0.4974, 0.5022)  2 Al 2.52, 2 Li 2.56, 4 Ru 2.67
Ru (0.0026, 0.0026, 0.9978)  2 Al 2.52, 2 Li 2.56, 4 Ru 2.67
Li (0.2500, 0.2500, 0.2500)  4 Ru 2.56, 4 Al 2.67
Al (0.7500, 0.7500, 0.7500)  4 Ru 2.52, 4 Li 2.67

Properties
**Raw total energy**: -6.1567 eV/atom
**Volume**: 54 Å³/f.u.

***

VASP calculation (PBE) on In2Hg5Pb12 after structural relaxation.

a b c (Å): 5.6074 11.1295 11.1296
angles (deg): 58.17 77.14 77.14
Closest atoms and distances in Å follow each position.
Sites, in units of the cell vectors:
Hg (0.6661, 0.8047, 0.8047)  3 Hg 3.30-3.67, 6 Pb 3.31-3.48
Hg (0.2299, 0.7001, 0.7001)  8 Pb 3.24-3.61, 2 Hg 3.30-3.56
Hg (0.5000, 0.0000, 0.0000)  8 Pb 3.32-3.40, 2 Hg 3.67
Hg (0.3339, 0.1953, 0.1953)  3 Hg 3.30-3.67, 6 Pb 3.31-3.48
Hg (0.7701, 0.2999, 0.2999)  8 Pb 3.24-3.61, 2 Hg 3.30-3.56
Pb (0.7958, 0.4543, 0.9484)  3 Hg 3.31-3.61, 6 Pb 3.32-3.50
Pb (0.1528, 0.4098, 0.4098)  2 In 3.23, 2 Hg 3.39-3.58, 5 Pb 3.40-3.54
Pb (0.3993, 0.3620, 0.8249)  2 In 3.23-3.40, 3 Hg 3.24-3.48, 4 Pb 3.43-3.54
Pb (0.2042, 0.0516, 0.5457)  3 Hg 3.31-3.61, 6 Pb 3.32-3.50
Pb (0.6007, 0.6380, 0.1751)  2 In 3.23-3.40, 3 Hg 3.24-3.48, 4 Pb 3.43-3.54
Pb (0.0814, 0.9038, 0.9038)  2 In 3.25, 4 Hg 3.32-3.38, 3 Pb 3.38-3.62
Pb (0.6007, 0.1751, 0.6380)  2 In 3.23-3.40, 3 Hg 3.24-3.48, 4 Pb 3.43-3.54
Pb (0.3993, 0.8249, 0.3620)  2 In 3.23-3.40, 3 Hg 3.24-3.48, 4 Pb 3.43-3.54
Pb (0.8472, 0.5902, 0.5902)  2 In 3.23, 2 Hg 3.39-3.58, 5 Pb 3.40-3.54
Pb (0.2042, 0.5457, 0.0516)  3 Hg 3.31-3.61, 6 Pb 3.32-3.50
Pb (0.7958, 0.9484, 0.4543)  3 Hg 3.31-3.61, 6 Pb 3.32-3.50
Pb (0.9186, 0.0962, 0.0962)  2 In 3.25, 4 Hg 3.32-3.38, 3 Pb 3.38-3.62
In (0.0000, 0.2490, 0.7510)  8 Pb 3.23-3.40
In (0.0000, 0.7510, 0.2490)  8 Pb 3.23-3.40

Properties
**Raw total energy**: -2.6589 eV/atom
**Volume**: 571 Å³/f.u.

***

no.,calculated density (Mg/m³),formation energy from the elements (kcal/mol of atoms)
1,8.462,-0.50
2,7.221,-2.41
3,10.821,1.17